Material: ScP2Ir
Method: DFT, PBE
State: relaxed

a b c (Å): 3.773 3.773 5.664
angles (deg): 70.51 70.51 60.11
Fractional positions:
Ir 0.250 0.250 0.250
P 0.986 0.986 0.043
P 0.514 0.514 0.457
Sc 0.750 0.750 0.750

crystal system: monoclinic
ΔE_f: -0.872 eV/atom
space group: C2/m, No. 12
M_tot: 0.0 μB/cell
volume: 16.13 Å³/atom
uncorrected energy: -7.37 eV per atom
density: 7.70 g/cm3